Computed, not measured: a relaxed TlCoTeO crystal at the PBE with a Hubbard U level of DFT.

Lattice parameters (Å, degrees): 4.2464 7.6136 6.0544 90.00 90.00 90.00
Positions (direct):
Tl 0.0000 0.2071 0.0000
Tl 0.0000 0.7929 0.5000
Co 0.5000 0.4151 0.3800
Co 0.5000 0.5849 0.8800
Te 0.0000 0.2248 0.5015
Te 0.0000 0.7752 0.0015
O 0.5000 0.3794 0.0597
O 0.5000 0.6206 0.5597

Size of the total moment in μB/atom: 0.73
Crystal system: orthorhombic
Space group: Pmc2_1
VASP energy in eV for the cell shown: -34.36